Below is an optimized crystal structure of KPaPtO5, with properties calculated at the PBE level.

CIF file:
```
data_KPaPtO5
_chemical_formula_sum 'K4 Pa4 Pt4 O20'
_symmetry_space_group_name_H-M 'C 1 2/c 1'
_symmetry_Int_Tables_number 15
_symmetry_space_group_name_Hall '-C 2yc'
_cell_length_a 8.776
_cell_length_b 10.549
_cell_length_c 6.608
_cell_angle_alpha 90.00
_cell_angle_beta 120.00
_cell_angle_gamma 90.00
loop_
_atom_site_label
_atom_site_type_symbol
_atom_site_fract_x
_atom_site_fract_y
_atom_site_fract_z
K1 K 0.000 0.090 0.250
Pa1 Pa 0.250 0.250 0.000
Pt1 Pt 0.000 0.441 0.250
O1 O 0.000 0.167 0.750
O2 O 0.152 0.312 0.232
O3 O 0.177 0.430 0.812
```

Calculated values
Density of states at the Fermi level (states/eV/atom): 0.611
Magnetic moment (μB/atom): 0.251
VASP energy (eV per cell): -228.3